# 1
Nd4Te3S (GGA-PBE, relaxed); ΔE to the lowest computed polymorph = 0.054 eV/atom; symmetry = Pmmn, No. 59; formation energy (no corrections) = -1509 meV per atom; calculated volume = 243.8 Å³/f.u.
1.0
-4.700 3.473 1.870
-2.736 -0.568 -5.822
-5.949 -10.085 3.779
Te Nd S
6 8 2
Direct
0.564 0.289 0.250
0.564 0.289 0.750
0.064 0.711 0.250
0.064 0.711 0.750
0.064 0.294 0.500
0.564 0.706 0.000
0.565 0.199 0.000
0.564 0.797 0.731
0.064 0.203 0.231
0.064 0.791 0.000
0.564 0.209 0.500
0.564 0.797 0.269
0.064 0.203 0.769
0.065 0.801 0.500
0.564 0.763 0.500
0.064 0.237 0.000

# 2
NdTe2S6 (GGA-PBE, relaxed); symmetry = P-1, No. 2; formation energy (no corrections) = -393 meV per atom; calculated volume = 257.6 Å³/f.u.
1.0
7.821 -0.594 2.432
1.207 7.375 3.013
1.358 -0.696 9.035
S Nd Te
12 2 4
Direct
0.881 0.609 0.647
0.567 0.380 0.479
0.865 0.137 0.900
0.262 0.389 0.919
0.135 0.863 0.100
0.408 0.999 0.217
0.592 0.001 0.783
0.119 0.391 0.353
0.738 0.611 0.081
0.737 0.012 0.360
0.433 0.620 0.521
0.263 0.988 0.640
0.820 0.652 0.343
0.180 0.348 0.657
0.362 0.800 0.847
0.856 0.812 0.810
0.144 0.188 0.190
0.638 0.200 0.153

# 3
Nd3TeS2 (GGA-PBE, relaxed); symmetry = Cmcm, No. 63; formation energy (no corrections) = -1549 meV per atom; calculated volume = 166.5 Å³/f.u.
1.0
4.349 0.000 0.000
-2.175 7.106 0.000
0.000 0.000 10.776
S Te Nd
4 2 6
Direct
0.529 0.058 0.250
0.471 0.942 0.750
0.000 0.000 0.000
0.000 0.000 0.500
0.250 0.500 0.250
0.750 0.500 0.750
0.356 0.713 0.551
0.644 0.287 0.051
0.644 0.287 0.449
0.918 0.836 0.250
0.082 0.164 0.750
0.356 0.713 0.949